Record 1
Ac2In12Hg | PBE | relaxed

Cell lengths 7.0601, 7.0601, 17.4820 Å; angles 90.00, 90.00, 90.00 degrees
Closest atoms and distances in Å follow each position.
Sites, in units of the cell vectors:
In1 0.5000 0.5000 0.8143  5 In 2.80-2.98
In2 0.7493 0.2493 0.9076  2 Hg 2.97-2.98, 3 In 2.98-3.23
In3 0.7507 0.7493 0.9076  2 Hg 2.97-2.98, 3 In 2.98-3.23
In4 0.2507 0.7507 0.9076  2 Hg 2.97-2.98, 3 In 2.98-3.23
In5 0.0000 0.0000 0.1857  5 In 2.80-2.98
In6 0.6656 0.8344 0.5699  4 In 2.97-3.31
In7 0.0000 0.0000 0.8143  5 In 2.80-2.98
In8 0.2507 0.2493 0.0924  2 Hg 2.97-2.98, 3 In 2.98-3.23
In9 0.0000 0.0000 0.6540  5 In 2.80-3.02
In10 0.3344 0.1656 0.5699  4 In 2.97-3.31
In11 0.5000 0.5000 0.3460  5 In 2.80-3.02
In12 0.5000 0.5000 0.1857  5 In 2.80-2.98
In13 0.7507 0.2507 0.0924  2 Hg 2.97-2.98, 3 In 2.98-3.23
In14 0.8344 0.3344 0.5699  4 In 2.97-3.31
In15 0.8344 0.6656 0.4301  4 In 2.97-3.31
In16 0.2493 0.2507 0.9076  2 Hg 2.97-2.98, 3 In 2.98-3.23
In17 0.2493 0.7493 0.0924  2 Hg 2.97-2.98, 3 In 2.98-3.23
In18 0.3344 0.8344 0.4301  4 In 2.97-3.31
In19 0.7493 0.7507 0.0924  2 Hg 2.97-2.98, 3 In 2.98-3.23
In20 0.5000 0.5000 0.6540  5 In 2.80-3.02
In21 0.6656 0.1656 0.4301  4 In 2.97-3.31
In22 0.0000 0.0000 0.3460  5 In 2.80-3.02
In23 0.1656 0.6656 0.5699  4 In 2.97-3.31
In24 0.1656 0.3344 0.4301  4 In 2.97-3.31
Ac1 0.0000 0.5000 0.7508  14 In 3.57-3.91
Ac2 0.5000 0.0000 0.7508  14 In 3.57-3.91
Ac3 0.0000 0.5000 0.2492  14 In 3.57-3.91
Ac4 0.5000 0.0000 0.2492  14 In 3.57-3.91
Hg1 0.5000 0.0000 0.0000  8 In 2.97-2.98
Hg2 0.0000 0.5000 0.0000  8 In 2.97-2.98

Space-group type: P4/nbm (125)
ΔH_f (0 K) (kJ/mol of formula units): -252

***

Record 2
Li2CeTlPb2 | PBE | relaxed

Cell lengths 5.0560, 5.0560, 6.8310 Å; angles 90.00, 90.00, 120.00 degrees
Closest atoms and distances in Å follow each position.
Sites, in units of the cell vectors:
Pb1 0.6667 0.3333 0.2935  4 Li 3.01-3.28, 3 Ce 3.24
Pb2 0.3333 0.6667 0.7065  4 Li 3.01-3.28, 3 Ce 3.24
Li1 0.6667 0.3333 0.8140  4 Pb 3.01-3.28, 3 Tl 3.18
Li2 0.3333 0.6667 0.1860  4 Pb 3.01-3.28, 3 Tl 3.18
Ce1 0.0000 0.0000 0.5000  6 Pb 3.24, 2 Tl 3.42, 6 Li 3.62
Tl1 0.0000 0.0000 0.0000  6 Li 3.18, 2 Ce 3.42, 6 Pb 3.54

Space-group type: P-3m1 (164)
ΔH_f (0 K) (kJ/mol of formula units): -177

***

Number 1: E_tot -2.9326 eV per atom, density of states at the Fermi level 6.98 states/eV/cell. Number 2: E_tot -3.5634 eV per atom, density of states at the Fermi level 6.37 states/eV/cell.